Entry 1:
{"formula": "ZnPbCl", "functional": "PBEsol", "state": "relaxed", "dos_ef_per_ev_fu": 1.707, "spacegroup": "F-43m (216)", "energy_ev_per_atom": -2.503, "formation_energy_uncorrected_ev_per_atom": 0.0260, "cell": [[-1.854, 4.268, -1.648], [-3.747, -0.014, -3.214], [-4.491, 1.459, 1.439]], "species": ["Zn", "Pb", "Cl"], "frac_coords": [[0.000, 0.000, 0.000], [0.250, 0.250, 0.250], [0.500, 0.500, 0.500]]}

***

Entry 2:
{"formula": "Zn2PbCl", "functional": "PBEsol", "state": "relaxed", "dos_ef_per_ev_fu": 1.637, "spacegroup": "Immm (71)", "energy_ev_per_atom": -2.290, "formation_energy_uncorrected_ev_per_atom": 0.0023, "cell": [[-1.833, -2.626, 1.002], [0.828, -2.196, -4.240], [4.852, 0.147, 3.640]], "species": ["Zn", "Cl", "Zn", "Pb"], "frac_coords": [[0.744, 0.744, 0.488], [0.500, 0.000, 0.000], [0.256, 0.256, 0.512], [0.000, 0.500, 0.000]]}

***

Entry 3:
{"formula": "ZnPb2Cl", "functional": "PBEsol", "state": "relaxed", "dos_ef_per_ev_fu": 1.080, "spacegroup": "Pm (6)", "energy_ev_per_atom": -3.050, "formation_energy_uncorrected_ev_per_atom": -0.1527, "cell": [[-0.483, -3.209, -1.034], [4.843, 0.224, 2.718], [-2.718, -1.182, 4.940]], "species": ["Pb", "Pb", "Zn", "Cl"], "frac_coords": [[0.372, 0.122, 0.500], [0.869, 0.104, 0.000], [0.143, 0.635, 0.000], [0.616, 0.639, 0.500]]}

***

Q: Number 2 is which compound?
A: Zn2PbCl

***

Copy entry 3 word for word.
{"formula": "ZnPb2Cl", "functional": "PBEsol", "state": "relaxed", "dos_ef_per_ev_fu": 1.080, "spacegroup": "Pm (6)", "energy_ev_per_atom": -3.050, "formation_energy_uncorrected_ev_per_atom": -0.1527, "cell": [[-0.483, -3.209, -1.034], [4.843, 0.224, 2.718], [-2.718, -1.182, 4.940]], "species": ["Pb", "Pb", "Zn", "Cl"], "frac_coords": [[0.372, 0.122, 0.500], [0.869, 0.104, 0.000], [0.143, 0.635, 0.000], [0.616, 0.639, 0.500]]}